Compound: SrCa3Al8
Source: the Alexandria database
Functional: PBE-GGA
Structure: optimized geometry

```
SrCa3Al8
1.0
5.704 0.000 0.000
2.852 4.940 0.000
2.852 1.647 9.389
Al Sr Ca
8 1 3
Direct
0.939 0.438 0.184 Al
0.937 0.436 0.691 Al
0.438 0.939 0.184 Al
0.187 0.187 0.438 Al
0.937 0.937 0.691 Al
0.687 0.687 0.938 Al
0.436 0.937 0.691 Al
0.438 0.438 0.184 Al
0.875 0.875 0.376 Sr
0.375 0.375 0.876 Ca
0.500 0.500 0.501 Ca
0.001 0.001 0.998 Ca
```

The energy of formation is -0.310 eV per atom. The calculation puts the mass density at 2.7 Mg/m³.

Compound: SrCaAl
Source: the Alexandria database
Functional: PBE-GGA
Structure: optimized geometry

```
SrCaAl
1.0
5.494 0.000 0.000
2.747 4.758 0.000
2.747 1.586 4.486
Ca Al Sr
1 1 1
Direct
0.000 0.000 0.000 Ca
0.750 0.750 0.750 Al
0.500 0.500 0.500 Sr
```

The energy of formation is 0.017 eV per atom. The calculation puts the mass density at 2.2 Mg/m³.

Compound: Sr2CaAl
Source: the Alexandria database
Functional: PBE-GGA
Structure: optimized geometry

```
Sr2CaAl
1.0
7.310 -0.037 0.040
6.157 3.940 0.040
2.391 0.693 5.406
Ca Sr Al
1 2 1
Direct
0.750 0.750 0.750 Ca
0.547 0.547 0.453 Sr
0.953 0.953 0.047 Sr
0.250 0.250 0.250 Al
```

The energy of formation is 0.039 eV per atom. The calculation puts the mass density at 2.6 Mg/m³.

Compound: SrCaAl
Source: the Alexandria database
Functional: PBE-GGA
Structure: optimized geometry

```
SrCaAl
1.0
5.531 0.000 0.000
-2.766 4.790 0.000
0.000 0.000 3.877
Ca Sr Al
1 1 1
Direct
0.667 0.333 0.229 Ca
0.333 0.667 0.684 Sr
0.000 0.000 0.086 Al
```

The energy of formation is 0.023 eV per atom. The calculation puts the mass density at 2.5 Mg/m³.

Compound: Sr2CaAl6
Source: the Alexandria database
Functional: PBE-GGA
Structure: optimized geometry

```
Sr2CaAl6
1.0
6.475 -0.243 0.386
0.023 5.546 3.118
-0.375 0.079 6.351
Sr Al Ca
2 6 1
Direct
0.144 0.333 0.333 Sr
0.856 0.667 0.667 Sr
0.362 0.811 0.811 Al
0.361 0.811 0.378 Al
0.639 0.189 0.622 Al
0.638 0.189 0.189 Al
0.361 0.378 0.811 Al
0.639 0.622 0.189 Al
0.000 0.000 0.000 Ca
```

The energy of formation is -0.146 eV per atom. The calculation puts the mass density at 2.8 Mg/m³.

Compound: SrCaAl
Source: the Alexandria database
Functional: PBE-GGA
Structure: optimized geometry

```
SrCaAl
1.0
7.464 -0.001 0.002
6.464 3.733 0.001
1.000 0.268 3.724
Ca Al Sr
1 1 1
Direct
0.632 0.632 0.369 Ca
0.007 0.007 0.993 Al
0.361 0.361 0.639 Sr
```

The energy of formation is -0.112 eV per atom. The calculation puts the mass density at 2.5 Mg/m³.

Compound: SrCa2Al2
Source: the Alexandria database
Functional: PBE-GGA
Structure: optimized geometry

```
SrCa2Al2
1.0
4.924 0.000 0.000
0.000 4.924 0.000
2.462 2.462 6.827
Ca Sr Al
2 1 2
Direct
0.750 0.250 0.500 Ca
0.250 0.750 0.500 Ca
0.000 0.000 0.000 Sr
0.406 0.406 0.189 Al
0.594 0.594 0.811 Al
```

The energy of formation is -0.080 eV per atom. The calculation puts the mass density at 2.2 Mg/m³. The value obtained for the energy above the most stable polymorph in this dataset is 52 meV/atom.

Compound: Sr2CaAl
Source: the Alexandria database
Functional: PBE-GGA
Structure: optimized geometry

```
Sr2CaAl
1.0
12.155 0.067 0.039
11.478 3.998 0.039
11.478 1.974 3.477
Ca Sr Al
1 2 1
Direct
0.750 0.750 0.750 Ca
0.986 0.986 0.986 Sr
0.514 0.514 0.514 Sr
0.250 0.250 0.250 Al
```

The energy of formation is 0.085 eV per atom. The calculation puts the mass density at 2.4 Mg/m³.

Compound: Sr5Ca2Al2
Source: the Alexandria database
Functional: PBE-GGA
Structure: optimized geometry

```
Sr5Ca2Al2
1.0
7.943 0.000 2.883
0.000 8.459 0.000
0.237 0.000 11.729
Al Sr Ca
4 10 4
Direct
0.608 0.108 0.000 Al
0.392 0.892 0.000 Al
0.892 0.608 0.000 Al
0.108 0.392 0.000 Al
0.708 0.317 0.219 Sr
0.208 0.183 0.219 Sr
0.428 0.183 0.781 Sr
0.000 0.000 0.000 Sr
0.928 0.317 0.781 Sr
0.792 0.817 0.781 Sr
0.500 0.500 0.000 Sr
0.572 0.817 0.219 Sr
0.292 0.683 0.781 Sr
0.072 0.683 0.219 Sr
0.735 0.500 0.530 Ca
0.765 0.000 0.470 Ca
0.265 0.500 0.470 Ca
0.235 0.000 0.530 Ca
```

The energy of formation is -0.014 eV per atom. The calculation puts the mass density at 2.4 Mg/m³.

Compound: SrCaAl2
Source: the Alexandria database
Functional: PBE-GGA
Structure: optimized geometry

```
SrCaAl2
1.0
6.275 -0.085 0.041
5.020 3.766 0.041
2.235 0.728 4.758
Ca Al Sr
1 2 1
Direct
0.481 0.481 0.519 Ca
0.703 0.703 0.797 Al
0.043 0.043 0.957 Al
0.273 0.273 0.227 Sr
```

The energy of formation is -0.134 eV per atom. The calculation puts the mass density at 2.6 Mg/m³.

Compound: Sr2CaAl
Source: the Alexandria database
Functional: PBE-GGA
Structure: optimized geometry

```
Sr2CaAl
1.0
9.774 0.000 0.000
0.000 9.774 0.000
4.887 4.887 3.532
Sr Al Ca
4 2 2
Direct
0.375 0.435 0.750 Sr
0.875 0.815 0.750 Sr
0.565 0.125 0.250 Sr
0.185 0.625 0.250 Sr
0.500 0.500 0.000 Al
0.250 0.750 0.500 Al
0.000 0.000 0.000 Ca
0.750 0.250 0.500 Ca
```

The energy of formation is 0.189 eV per atom. The calculation puts the mass density at 2.4 Mg/m³.

Compound: SrCaAl
Source: the Alexandria database
Functional: PBE-GGA
Structure: optimized geometry

```
SrCaAl
1.0
-2.684 2.308 -4.153
-2.927 -3.093 -3.413
-5.451 0.256 0.079
Ca Sr Al
1 1 1
Direct
0.500 0.500 0.500 Ca
0.750 0.750 0.750 Sr
0.000 0.000 0.000 Al
```

The energy of formation is 0.515 eV per atom. The calculation puts the mass density at 2.2 Mg/m³.

> What is the formula in the third record?

Sr2CaAl

> mass density of number 7 (SrCa2Al2)?

2.2 Mg/m³

> mass density of number 4 (SrCaAl)?

2.5 Mg/m³